#w
# TaSn3Ir

TaSn3Ir after structural relaxation (PBE-GGA, Alexandria via LeMat-Bulk).

The calculation puts the density of states at the Fermi level at 1.240 states/eV/atom.

The space group is Pm-3m (No. 221) and the conventional cell measures 5.301, 5.301 and 5.301 Å, with angles of 90.00, 90.00 and 90.00 degrees. Symmetry generates all atoms from Ta at (0.000, 0.000, 0.000), Sn at (0.000, 0.000, 0.500) and Ir at (0.500, 0.500, 0.500).

#x
# TaSn3Ir

TaSn3Ir after structural relaxation (PBE-GGA, Alexandria via LeMat-Bulk).

The calculation puts the density of states at the Fermi level at 1.553 states/eV/atom.

The space group is Pm-3m (No. 221) and the conventional cell measures 5.095, 5.095 and 5.095 Å, with angles of 90.00, 90.00 and 90.00 degrees. Symmetry generates all atoms from Ta at (0.000, 0.000, 0.000), Sn at (0.000, 0.500, 0.500) and Ir at (0.500, 0.500, 0.500).

Pick #x: it beats the second-best structure by 32.4 kJ/mol of atoms.

#w
# Tb2SnIr

Tb2SnIr after structural relaxation (PBE-GGA, Alexandria via LeMat-Bulk).

The calculation puts the density of states at the Fermi level at 0.605 states/eV/atom.

The space group is P2_1/m (No. 11) and the conventional cell measures 6.250, 3.982 and 8.619 Å, with angles of 90.00, 109.09 and 90.00 degrees. Symmetry generates all atoms from Tb at (0.167, 0.250, 0.392), Tb at (0.251, 0.750, 0.046), Sn at (0.377, 0.750, 0.703) and Ir at (0.117, 0.250, 0.797).

#x
# Tb2SnIr

Tb2SnIr after structural relaxation (PBE-GGA, Alexandria via LeMat-Bulk).

The calculation puts the density of states at the Fermi level at 0.747 states/eV/atom.

The space group is Fm-3m (No. 225) and the conventional cell measures 7.227, 7.227 and 7.227 Å, with angles of 90.00, 90.00 and 90.00 degrees. Symmetry generates all atoms from Tb at (0.250, 0.250, 0.250), Sn at (0.000, 0.000, 0.000) and Ir at (0.000, 0.000, 0.500).

#y
# Tb2SnIr

Tb2SnIr after structural relaxation (PBE-GGA, Alexandria via LeMat-Bulk).

The calculation puts the density of states at the Fermi level at 0.661 states/eV/atom.

The space group is R-3m (No. 166, hexagonal axes) and the conventional cell measures 3.8648, 3.8648 and 25.0270 Å, with angles of 90.00, 90.00 and 120.00 degrees. Symmetry generates all atoms from Tb at (0.0000, 0.0000, 0.2330), Sn at (0.0000, 0.0000, 0.0000) and Ir at (0.0000, 0.0000, 0.5000).

#z
# Tb2SnIr

Tb2SnIr after structural relaxation (PBE-GGA, Alexandria via LeMat-Bulk).

The calculation puts the density of states at the Fermi level at 0.782 states/eV/atom.

The space group is P4/mmm (No. 123) and the conventional cell measures 3.468, 3.468 and 7.964 Å, with angles of 90.00, 90.00 and 90.00 degrees. Symmetry generates all atoms from Tb at (0.000, 0.000, 0.211), Sn at (0.500, 0.500, 0.500) and Ir at (0.500, 0.500, 0.000).

Pick #w: it beats the second-best structure by 4.9 kJ/mol of atoms.

#w
# SnTeIr2

SnTeIr2 after structural relaxation (PBE-GGA, Alexandria via LeMat-Bulk).

The calculation puts the density of states at the Fermi level at 0.832 states/eV/atom.

The space group is Fm-3m (No. 225) and the conventional cell measures 6.663, 6.663 and 6.663 Å, with angles of 90.00, 90.00 and 90.00 degrees. Symmetry generates all atoms from Sn at (0.000, 0.000, 0.000), Te at (0.000, 0.000, 0.500) and Ir at (0.250, 0.250, 0.250).

#x
# SnTeIr2

SnTeIr2 after structural relaxation (PBE-GGA, Alexandria via LeMat-Bulk).

The calculation puts the density of states at the Fermi level at 0.479 states/eV/atom.

The space group is I-42d (No. 122) and the conventional cell measures 5.799, 5.799 and 12.423 Å, with angles of 90.00, 90.00 and 90.00 degrees. Symmetry generates all atoms from Sn at (0.000, 0.000, 0.000), Te at (0.000, 0.000, 0.500) and Ir at (0.238, 0.250, 0.625).

Pick #x: it beats the second-best structure by 4.6 kJ/mol of atoms.

#w
# Ti6SnIr

Ti6SnIr after structural relaxation (PBE-GGA, Alexandria via LeMat-Bulk).

The calculation puts the density of states at the Fermi level at 1.019 states/eV/atom.

The space group is Amm2 (No. 38) and the conventional cell measures 4.597, 6.292 and 9.450 Å, with angles of 90.00, 90.00 and 90.00 degrees. Symmetry generates all atoms from Ti at (0.000, 0.000, 0.000), Ti at (0.000, 0.215, 0.285), Ti at (0.500, 0.000, 0.779), Ti at (0.500, 0.244, 0.012), Sn at (0.000, 0.000, 0.556) and Ir at (0.500, 0.000, 0.235).

#x
# Ti6SnIr

Ti6SnIr after structural relaxation (PBE-GGA, Alexandria via LeMat-Bulk).

The calculation puts the density of states at the Fermi level at 1.583 states/eV/atom.

The space group is P-1 (No. 2) and the conventional cell measures 5.111, 5.117 and 5.118 Å, with angles of 90.16, 90.25 and 90.09 degrees. Symmetry generates all atoms from Ti at (0.000, 0.002, 0.262), Ti at (0.238, 0.500, 0.997), Ti at (0.499, 0.739, 0.500), Sn at (0.500, 0.000, 0.000) and Ir at (0.000, 0.500, 0.500).

Pick #x: it beats the second-best structure by 5.9 kJ/mol of atoms.

#w
# Ti4SnIr2

Ti4SnIr2 after structural relaxation (PBE-GGA, Alexandria via LeMat-Bulk).

The calculation puts the density of states at the Fermi level at 0.903 states/eV/atom.

The space group is R-3m (No. 166, hexagonal axes) and the conventional cell measures 4.1455, 4.1455 and 27.5168 Å, with angles of 90.00, 90.00 and 120.00 degrees. Symmetry generates all atoms from Ti at (0.0000, 0.0000, 0.1042), Ti at (0.0000, 0.0000, 0.3020), Sn at (0.0000, 0.0000, 0.5000) and Ir at (0.0000, 0.0000, 0.3977).

#x
# Ti4SnIr2

Ti4SnIr2 after structural relaxation (PBE-GGA, Alexandria via LeMat-Bulk).

The calculation puts the density of states at the Fermi level at 1.024 states/eV/atom.

The space group is I4/mmm (No. 139) and the conventional cell measures 3.624, 3.624 and 20.676 Å, with angles of 90.00, 90.00 and 90.00 degrees. Symmetry generates all atoms from Ti at (0.000, 0.000, 0.135), Ti at (0.000, 0.500, 0.250), Sn at (0.000, 0.000, 0.000) and Ir at (0.000, 0.000, 0.356).

Pick #w: it beats the second-best structure by 23.0 kJ/mol of atoms.

#w
# TlSn2Ir

TlSn2Ir after structural relaxation (PBE-GGA, Alexandria via LeMat-Bulk).

The calculation puts the density of states at the Fermi level at 0.288 states/eV/atom.

The space group is Fm-3m (No. 225) and the conventional cell measures 7.088, 7.088 and 7.088 Å, with angles of 90.00, 90.00 and 90.00 degrees. Symmetry generates all atoms from Tl at (0.000, 0.000, 0.000), Sn at (0.250, 0.250, 0.250) and Ir at (0.000, 0.000, 0.500).

#x
# TlSn2Ir

TlSn2Ir after structural relaxation (PBE-GGA, Alexandria via LeMat-Bulk).

The calculation puts the density of states at the Fermi level at 0.500 states/eV/atom.

The space group is R-3m (No. 166, hexagonal axes) and the conventional cell measures 3.7355, 3.7355 and 27.4953 Å, with angles of 90.00, 90.00 and 120.00 degrees. Symmetry generates all atoms from Tl at (0.0000, 0.0000, 0.0000), Sn at (0.0000, 0.0000, 0.1094) and Ir at (0.0000, 0.0000, 0.5000).

#y
# TlSn2Ir

TlSn2Ir after structural relaxation (PBE-GGA, Alexandria via LeMat-Bulk).

The calculation puts the density of states at the Fermi level at 0.483 states/eV/atom.

The space group is I-42d (No. 122) and the conventional cell measures 5.457, 5.457 and 16.159 Å, with angles of 90.00, 90.00 and 90.00 degrees. Symmetry generates all atoms from Tl at (0.000, 0.000, 0.000), Sn at (0.157, 0.250, 0.625) and Ir at (0.000, 0.000, 0.500).

Pick #x: it beats the second-best structure by 23.5 kJ/mol of atoms.

#w
# Tl2SnIr

Tl2SnIr after structural relaxation (PBE-GGA, Alexandria via LeMat-Bulk).

The calculation puts the density of states at the Fermi level at 0.976 states/eV/atom.

The space group is Fm-3m (No. 225) and the conventional cell measures 7.169, 7.169 and 7.169 Å, with angles of 90.00, 90.00 and 90.00 degrees. Symmetry generates all atoms from Tl at (0.250, 0.250, 0.250), Sn at (0.000, 0.000, 0.000) and Ir at (0.000, 0.000, 0.500).

#x
# Tl2SnIr

Tl2SnIr after structural relaxation (PBE-GGA, Alexandria via LeMat-Bulk).

The calculation puts the density of states at the Fermi level at 0.730 states/eV/atom.

The space group is I-42d (No. 122) and the conventional cell measures 9.686, 9.686 and 5.077 Å, with angles of 90.00, 90.00 and 90.00 degrees. Symmetry generates all atoms from Tl at (0.126, 0.750, 0.125), Sn at (0.000, 0.000, 0.500) and Ir at (0.000, 0.000, 0.000).

Pick #x: it beats the second-best structure by 28.9 kJ/mol of atoms.

#w
# Tm8Sn2Ir3

Tm8Sn2Ir3 after structural relaxation (PBE-GGA, Alexandria via LeMat-Bulk).

The calculation puts the density of states at the Fermi level at 0.534 states/eV/atom.

The space group is Cmmm (No. 65) and the conventional cell measures 9.679, 14.715 and 4.811 Å, with angles of 90.00, 90.00 and 90.00 degrees. Symmetry generates all atoms from Tm at (0.000, 0.109, 0.000), Tm at (0.000, 0.387, 0.000), Tm at (0.246, 0.388, 0.500), Sn at (0.000, 0.244, 0.500), Ir at (0.000, 0.500, 0.500) and Ir at (0.250, 0.000, 0.000).

#x
# Tm8Sn2Ir3

Tm8Sn2Ir3 after structural relaxation (PBE-GGA, Alexandria via LeMat-Bulk).

The calculation puts the density of states at the Fermi level at 0.606 states/eV/atom.

The space group is C2/m (No. 12) and the conventional cell measures 16.035, 7.508 and 6.747 Å, with angles of 90.00, 109.73 and 90.00 degrees. Symmetry generates all atoms from Tm at (0.088, 0.000, 0.421), Tm at (0.101, 0.248, 0.906), Tm at (0.141, 0.500, 0.481), Sn at (0.250, 0.000, 0.833), Ir at (0.000, 0.000, 0.000) and Ir at (0.000, 0.302, 0.500).

Pick #w: it beats the second-best structure by 13.7 kJ/mol of atoms.

#w
# V2SnIr2

V2SnIr2 after structural relaxation (PBE-GGA, Alexandria via LeMat-Bulk).

The calculation puts the density of states at the Fermi level at 0.635 states/eV/atom.

The space group is P4/mbm (No. 127) and the conventional cell measures 7.488, 7.488 and 2.831 Å, with angles of 90.00, 90.00 and 90.00 degrees. Symmetry generates all atoms from V at (0.159, 0.341, 0.000), Sn at (0.000, 0.000, 0.500) and Ir at (0.132, 0.632, 0.500).

#x
# V2SnIr2

V2SnIr2 after structural relaxation (PBE-GGA, Alexandria via LeMat-Bulk).

The calculation puts the density of states at the Fermi level at 0.708 states/eV/atom.

The space group is I4/mmm (No. 139) and the conventional cell measures 4.086, 4.086 and 10.589 Å, with angles of 90.00, 90.00 and 90.00 degrees. Symmetry generates all atoms from V at (0.000, 0.500, 0.250), Sn at (0.000, 0.000, 0.000) and Ir at (0.000, 0.000, 0.378).

Pick #w: it beats the second-best structure by 13.7 kJ/mol of atoms.

#w
# Sn3IrW

Sn3IrW after structural relaxation (PBE-GGA, Alexandria via LeMat-Bulk).

The calculation puts the density of states at the Fermi level at 0.742 states/eV/atom.

The space group is Pm-3m (No. 221) and the conventional cell measures 5.099, 5.099 and 5.099 Å, with angles of 90.00, 90.00 and 90.00 degrees. Symmetry generates all atoms from Sn at (0.000, 0.000, 0.500), Ir at (0.000, 0.000, 0.000) and W at (0.500, 0.500, 0.500).

#x
# Sn3IrW

Sn3IrW after structural relaxation (PBE-GGA, Alexandria via LeMat-Bulk).

The calculation puts the density of states at the Fermi level at 0.937 states/eV/atom.

The space group is Pm-3m (No. 221) and the conventional cell measures 5.204, 5.204 and 5.204 Å, with angles of 90.00, 90.00 and 90.00 degrees. Symmetry generates all atoms from Sn at (0.000, 0.000, 0.500), Ir at (0.500, 0.500, 0.500) and W at (0.000, 0.000, 0.000).

Pick #w: it beats the second-best structure by 12.7 kJ/mol of atoms.

#w
# Zn2SnIr2

Zn2SnIr2 after structural relaxation (PBE-GGA, Alexandria via LeMat-Bulk).

The calculation puts the density of states at the Fermi level at 0.537 states/eV/atom.

The space group is P4/mbm (No. 127) and the conventional cell measures 7.259, 7.259 and 3.085 Å, with angles of 90.00, 90.00 and 90.00 degrees. Symmetry generates all atoms from Zn at (0.146, 0.354, 0.000), Sn at (0.000, 0.000, 0.500) and Ir at (0.150, 0.650, 0.500).

#x
# Zn2SnIr2

Zn2SnIr2 after structural relaxation (PBE-GGA, Alexandria via LeMat-Bulk).

The calculation puts the density of states at the Fermi level at 0.365 states/eV/atom.

The space group is P4/mbm (No. 127) and the conventional cell measures 7.385, 7.385 and 2.920 Å, with angles of 90.00, 90.00 and 90.00 degrees. Symmetry generates all atoms from Zn at (0.119, 0.381, 0.000), Sn at (0.000, 0.000, 0.000) and Ir at (0.177, 0.677, 0.500).

Pick #w: it beats the second-best structure by 7.8 kJ/mol of atoms.